Computed, not measured: Er3SnPb2 after structural relaxation at the PBE-GGA level of DFT.

Properties
Crystal system ... orthorhombic
Energy of formation from the pure elements ... -0.391 eV per atom

```
data_Er3SnPb2
_cell_length_a 13.130
_cell_length_b 4.482
_cell_length_c 11.700
_cell_angle_alpha 90.00
_cell_angle_beta 90.00
_cell_angle_gamma 90.00
_space_group_name_H-M_alt 'P n m a'
_space_group_IT_number 62
_space_group_name_Hall '-P 2ac 2n'
loop_
_atom_site_label
_atom_site_type_symbol
_atom_site_fract_x
_atom_site_fract_y
_atom_site_fract_z
_atom_site_occupancy
Er1 Er 0.063 0.250 0.104 1
Er2 Er 0.136 0.750 0.565 1
Er3 Er 0.232 0.750 0.273 1
Sn1 Sn 0.100 0.250 0.377 1
Pb1 Pb 0.036 0.250 0.746 1
Pb2 Pb 0.186 0.750 0.988 1
```

Computed, not measured: ZrAlS2Cl after structural relaxation at the PBE-GGA level of DFT.

Properties
Crystal system ... tetragonal
E above lowest polymorph ... 1.80 eV/f.u.

```
data_ZrAlS2Cl
_cell_length_a 4.681
_cell_length_b 4.681
_cell_length_c 4.480
_cell_angle_alpha 90.00
_cell_angle_beta 90.00
_cell_angle_gamma 90.00
_space_group_name_H-M_alt 'P 4/m m m'
_space_group_IT_number 123
_space_group_name_Hall '-P 4 2'
loop_
_atom_site_label
_atom_site_type_symbol
_atom_site_fract_x
_atom_site_fract_y
_atom_site_fract_z
_atom_site_occupancy
Zr1 Zr 0.000 0.000 0.000 1
Al1 Al 0.500 0.500 0.500 1
S1 S 0.000 0.500 0.500 1
Cl1 Cl 0.500 0.500 0.000 1
```

Computed, not measured: CsNaNp2Br8 after structural relaxation at the PBE-GGA level of DFT.

Properties
Crystal system ... triclinic

```
data_CsNaNp2Br8
_cell_length_a 7.273
_cell_length_b 7.495
_cell_length_c 9.086
_cell_angle_alpha 90.28
_cell_angle_beta 90.82
_cell_angle_gamma 95.29
_space_group_name_H-M_alt 'P -1'
_space_group_IT_number 2
_space_group_name_Hall '-P 1'
loop_
_atom_site_label
_atom_site_type_symbol
_atom_site_fract_x
_atom_site_fract_y
_atom_site_fract_z
_atom_site_occupancy
Cs1 Cs 0.000 0.000 0.000 1
Na1 Na 0.000 0.000 0.500 1
Np1 Np 0.499 0.500 0.258 1
Br1 Br 0.271 0.175 0.289 1
Br2 Br 0.277 0.170 0.720 1
Br3 Br 0.280 0.633 0.499 1
Br4 Br 0.288 0.615 0.998 1
```

Calculated values (hartree per atom) of uncorrected energy for the records, taken in order: -0.168 -0.181 -0.179.